# HoSi2Ni3

HoSi2Ni3 after structural relaxation (PBE-GGA, Alexandria via LeMat-Bulk).

Calculated values
The calculation puts the magnetization at 0.000 μB per atom. The calculation puts the total energy at -37.0 eV/f.u. For the raw formation energy, the calculation gives -4.25 eV per formula unit. Its symmetry is C2/m.

Unit cell a=3.784 b=7.480 c=6.965 alpha=114.31 beta=90.00 gamma=104.65
Fractional coordinates of all 12 atoms:
Ni: 0.038 0.076 0.367
Ni: 0.407 0.814 0.328
Ni: 0.317 0.633 0.560
Ni: 0.593 0.186 0.672
Ni: 0.683 0.367 0.440
Ho: 0.846 0.693 0.931
Ho: 0.154 0.307 0.069
Si: 0.480 0.960 0.818
Si: 0.520 0.040 0.182
Si: 0.814 0.627 0.333
Ni: 0.962 0.924 0.633
Si: 0.186 0.373 0.667